Entry from the Alexandria database: Pu3PdSe6 after structural relaxation (PBE).

Cell lengths 8.8718, 8.8718, 6.6534 Å; angles 90.00, 90.00, 101.45 degrees
Positions (direct):
1 Pu 0.1099 0.8901 0.5000
2 Pu 0.2233 0.4291 0.5812
3 Pu 0.4291 0.2233 0.0812
4 Pu 0.5709 0.7767 0.5812
5 Pu 0.7767 0.5709 0.0812
6 Pu 0.8901 0.1099 0.0000
7 Pd 0.3047 0.6953 0.1707
8 Pd 0.6953 0.3047 0.6707
9 Se 0.0477 0.5878 0.3228
10 Se 0.1336 0.1922 0.2878
11 Se 0.1922 0.1336 0.7878
12 Se 0.2763 0.7237 0.7837
13 Se 0.4122 0.9523 0.3228
14 Se 0.4762 0.5238 0.3029
15 Se 0.5238 0.4762 0.8029
16 Se 0.5878 0.0477 0.8228
17 Se 0.7237 0.2763 0.2837
18 Se 0.8078 0.8664 0.2878
19 Se 0.8664 0.8078 0.7878
20 Se 0.9523 0.4122 0.8228

Total DFT energy (no corrections)   -8.003 eV/atom
Total magnetic moment   0.431 μB/atom
ρ   8.49 Mg/m³
Formation energy (no corrections)   -1.09 eV per atom

***

Entry from the Alexandria database: TlMo2Ir2 after structural relaxation (PBE).

Cell lengths 7.8075, 7.8075, 2.8159 Å; angles 90.00, 90.00, 90.00 degrees
Positions (direct):
1 Tl 0.0000 0.0000 0.0000
2 Tl 0.5000 0.5000 0.0000
3 Mo 0.1654 0.3346 0.5000
4 Mo 0.3346 0.8346 0.5000
5 Mo 0.6654 0.1654 0.5000
6 Mo 0.8346 0.6654 0.5000
7 Ir 0.1250 0.6250 0.0000
8 Ir 0.3750 0.1250 0.0000
9 Ir 0.6250 0.8750 0.0000
10 Ir 0.8750 0.3750 0.0000

Total DFT energy (no corrections)   -8.202 eV/atom
Total magnetic moment   0.000 μB/atom
ρ   15.10 Mg/m³
Calculated formation energy   0.15 eV/atom

***

Entry from the Alexandria database: ReSi2Pb2 after structural relaxation (PBE).

Cell lengths 9.3375, 9.3375, 9.3375 Å; angles 158.95, 158.95, 29.94 degrees
Positions (direct):
1 Re 0.0000 0.0000 0.0000
2 Si 0.2500 0.7500 0.5000
3 Si 0.7500 0.2500 0.5000
4 Pb 0.4066 0.4066 0.0000
5 Pb 0.5934 0.5934 0.0000

Total DFT energy (no corrections)   -5.381 eV/atom
Total magnetic moment   0.000 μB/atom
ρ   10.39 Mg/m³
Formation energy (no corrections)   0.76 eV per atom